Run 1
First-principles (PBE) data for a relaxed CsNaSb2 crystal, as listed in the Alexandria database.

Output
As for the spin magnetization: 0.00 μB/cell.

Lattice parameters (Å, degrees): 10.3210 4.6440 13.4053 90.00 90.00 90.00
Closest atoms and distances in Å follow each position.
Fractional coordinates of all 16 atoms:
1 Cs 0.0978 0.2500 0.1226  9 Sb 3.99-4.29, 2 Na 4.28
2 Cs 0.4022 0.7500 0.6226  9 Sb 3.99-4.29, 2 Na 4.28
3 Cs 0.5978 0.2500 0.3774  9 Sb 3.99-4.29, 2 Na 4.28
4 Cs 0.9022 0.7500 0.8774  9 Sb 3.99-4.29, 2 Na 4.28
5 Na 0.0163 0.2500 0.6236  5 Sb 3.25-3.36
6 Na 0.4837 0.7500 0.1236  5 Sb 3.25-3.36
7 Na 0.5163 0.2500 0.8764  5 Sb 3.25-3.36
8 Na 0.9837 0.7500 0.3764  5 Sb 3.25-3.36
9 Sb 0.2079 0.2500 0.4308  2 Sb 2.91, 1 Na 3.25
10 Sb 0.2117 0.2500 0.8157  2 Sb 2.91, 1 Na 3.25
11 Sb 0.2883 0.7500 0.3157  2 Sb 2.91, 1 Na 3.25
12 Sb 0.2921 0.7500 0.9308  2 Sb 2.91, 1 Na 3.25
13 Sb 0.7079 0.2500 0.0692  2 Sb 2.91, 1 Na 3.25
14 Sb 0.7117 0.2500 0.6843  2 Sb 2.91, 1 Na 3.25
15 Sb 0.7883 0.7500 0.1843  2 Sb 2.91, 1 Na 3.25
16 Sb 0.7921 0.7500 0.5692  2 Sb 2.91, 1 Na 3.25

---

Run 2
First-principles (PBE) data for a relaxed CsNaSb2 crystal, as listed in the Alexandria database.

Output
As for the spin magnetization: 0.00 μB/cell.

Lattice parameters (Å, degrees): 5.8737 5.8737 5.8737 60.00 60.00 60.00
Closest atoms and distances in Å follow each position.
Fractional coordinates of all 4 atoms:
1 Cs 0.0000 0.0000 0.0000  8 Sb 3.60
2 Na 0.5000 0.5000 0.5000  8 Sb 3.60
3 Sb 0.2500 0.2500 0.2500  4 Na 3.60, 4 Cs 3.60
4 Sb 0.7500 0.7500 0.7500  4 Na 3.60, 4 Cs 3.60

---

Stability summary: most stable run 1, least stable run 2.